Entry 1:
VASP calculation (PBE) on SrCrHg2W after structural relaxation.

Magnetization ... 1.99 Bohr magnetons per cell

Cell lengths 5.431, 5.431, 4.589 Å; angles 90.00, 90.00, 90.00 degrees
Sites, in units of the cell vectors:
Sr  0.000  0.000  0.000
Cr  0.500  0.500  0.000
Hg  0.000  0.500  0.500
Hg  0.500  0.000  0.500
W  0.500  0.500  0.500

***

Entry 2:
VASP calculation (PBE) on SrYCrHg2 after structural relaxation.

Magnetization ... 4.22 Bohr magnetons per cell

Cell lengths 5.646, 5.646, 5.432 Å; angles 90.00, 90.00, 90.00 degrees
Sites, in units of the cell vectors:
Sr  0.000  0.000  0.000
Y  0.500  0.500  0.500
Cr  0.000  0.000  0.500
Hg  0.000  0.500  0.000
Hg  0.500  0.000  0.000

***

Entry 3:
VASP calculation (PBE) on TaCrHg after structural relaxation.

E above lowest polymorph ... 0 meV per atom
Magnetization ... 0.88 Bohr magnetons per cell

Cell lengths 5.347, 5.347, 5.347 Å; angles 144.36, 144.36, 51.30 degrees
Sites, in units of the cell vectors:
Ta  0.000  0.000  0.000
Cr  0.623  0.623  0.000
Hg  0.305  0.305  0.000

***

Entry 4:
VASP calculation (PBE) on TaCrHg2 after structural relaxation.

E above lowest polymorph ... 362 meV per atom
Magnetization ... 2.45 Bohr magnetons per cell

Cell lengths 4.740, 4.740, 4.740 Å; angles 60.00, 60.00, 60.00 degrees
Sites, in units of the cell vectors:
Ta  0.000  0.000  0.000
Cr  0.250  0.250  0.250
Hg  0.500  0.500  0.500
Hg  0.750  0.750  0.750

***

no.,calculated formation energy (eV/atom),raw total energy (eV per atom)
1,0.614,-4.359
2,0.901,-2.773
3,0.380,-6.880
4,0.757,-4.763